A plane-wave DFT calculation with PBE-GGA was carried out for a geometry-optimized La6GaCl5 structure.

Cell lengths 7.241, 7.241, 7.441 Å; angles 99.38, 99.38, 120.46 degrees
Positions (direct):
La: 0.079 0.415 0.750
La: 0.238 0.238 0.240
La: 0.415 0.079 0.750
La: 0.585 0.921 0.250
La: 0.762 0.762 0.760
La: 0.921 0.585 0.250
Ga: 0.500 0.500 0.000
Cl: 0.000 0.000 0.500
Cl: 0.170 0.830 0.000
Cl: 0.345 0.655 0.500
Cl: 0.655 0.345 0.500
Cl: 0.830 0.170 0.000

=====

A plane-wave DFT calculation with PBE-GGA was carried out for a geometry-optimized La5Ga2Cl structure.

Cell lengths 9.063, 12.289, 4.346 Å; angles 90.00, 90.00, 90.00 degrees
Positions (direct):
La: 0.000 0.000 0.000
La: 0.166 0.298 0.000
La: 0.197 0.572 0.500
La: 0.303 0.072 0.500
La: 0.334 0.798 0.000
La: 0.500 0.500 0.000
La: 0.666 0.202 0.000
La: 0.697 0.928 0.500
La: 0.803 0.428 0.500
La: 0.834 0.702 0.000
Ga: 0.057 0.812 0.500
Ga: 0.443 0.312 0.500
Ga: 0.557 0.688 0.500
Ga: 0.943 0.188 0.500
Cl: 0.000 0.500 0.000
Cl: 0.500 0.000 0.000

=====

Values for formation energy without anion corrections, eV per atom, ordered as above
-1.420; -0.660
Values for electronic total energy, eV/f.u., ordered as above
-58.9; -37.8